# 1
# Sm2BeZn

A relaxed Sm2BeZn crystal (GGA-PBE, the Alexandria database).

a b c (Å): 7.1286 7.1286 7.1286
angles (deg): 90.00 90.00 90.00
Space group Fm-3m (No. 225)
Symmetry-distinct sites (fractional):
Sm 0.2500 0.2500 0.2500
Be 0.0000 0.0000 0.0000
Zn 0.0000 0.0000 0.5000

total energy = -3.671 eV/atom
energy of formation = -0.06 eV/atom
density of states at the Fermi level = 1.09 states/eV per atom

=====

# 2
# YI2F

A relaxed YI2F crystal (GGA-PBE, the Alexandria database).

a b c (Å): 7.4208 7.4208 7.4208
angles (deg): 90.00 90.00 90.00
Space group Fm-3m (No. 225)
Symmetry-distinct sites (fractional):
Y 0.0000 0.0000 0.0000
I 0.2500 0.2500 0.2500
F 0.0000 0.0000 0.5000

total energy = -4.361 eV/atom
energy relative to the elements, uncorrected = -6.01 eV per formula unit
density of states at the Fermi level = 0.00 states/eV per atom

=====

# 3
# TbY2Cd4

A relaxed TbY2Cd4 crystal (GGA-PBE, the Alexandria database).

a b c (Å): 5.3570 5.3570 13.7062
angles (deg): 90.00 90.00 90.00
Space group I4/mmm (No. 139)
Symmetry-distinct sites (fractional):
Tb 0.0000 0.0000 0.0000
Y 0.0000 0.0000 0.2610
Cd 0.0000 0.5000 0.1148

total energy = -3.204 eV/atom
energy of formation = -0.17 eV/atom
density of states at the Fermi level = 0.71 states/eV per atom

=====

# 4
# NaCa2SiP

A relaxed NaCa2SiP crystal (GGA-PBE, the Alexandria database).

a b c (Å): 5.5271 5.5271 4.6988
angles (deg): 90.00 90.00 90.00
Space group P4/mmm (No. 123)
Symmetry-distinct sites (fractional):
Na 0.0000 0.0000 0.0000
Ca 0.0000 0.5000 0.5000
Si 0.5000 0.5000 0.0000
P 0.5000 0.5000 0.5000

total energy = -3.392 eV/atom
energy relative to the elements, uncorrected = -0.80 eV per formula unit
density of states at the Fermi level = 0.91 states/eV per atom

=====

# 5
# AcEr2Hg2Pb2

A relaxed AcEr2Hg2Pb2 crystal (GGA-PBE, the Alexandria database).

a b c (Å): 5.1592 5.1592 27.3808
angles (deg): 90.00 90.00 120.00
Space group R-3m (No. 166, hexagonal axes)
Symmetry-distinct sites (fractional):
Ac 0.0000 0.0000 0.0000
Er 0.0000 0.0000 0.1335
Hg 0.0000 0.0000 0.4408
Pb 0.0000 0.0000 0.2634

total energy = -3.295 eV/atom
energy of formation = -0.26 eV/atom
density of states at the Fermi level = 1.00 states/eV per atom

=====

# 6
# Ca2ZrNbSi

A relaxed Ca2ZrNbSi crystal (GGA-PBE, the Alexandria database).

a b c (Å): 5.2699 5.2699 4.9500
angles (deg): 90.00 90.00 90.00
Space group P4/mmm (No. 123)
Symmetry-distinct sites (fractional):
Ca 0.0000 0.5000 0.0000
Zr 0.0000 0.0000 0.5000
Nb 0.5000 0.5000 0.0000
Si 0.5000 0.5000 0.5000

total energy = -4.559 eV/atom
energy relative to the elements, uncorrected = 5.25 eV per formula unit
density of states at the Fermi level = 1.72 states/eV per atom

=====

# 7
# MgRe3

A relaxed MgRe3 crystal (GGA-PBE, the Alexandria database).

a b c (Å): 4.4621 4.4621 12.1697
angles (deg): 90.00 90.00 90.00
Space group I4/mmm (No. 139)
Symmetry-distinct sites (fractional):
Mg 0.0000 0.0000 0.1225
Re 0.0000 0.0000 0.3727
Re 0.0000 0.5000 0.0000
Re 0.0000 0.5000 0.2500

total energy = -9.424 eV/atom
energy of formation = 0.31 eV/atom
density of states at the Fermi level = 0.57 states/eV per atom

=====

# 8
# PrDyNpO6

A relaxed PrDyNpO6 crystal (GGA-PBE, the Alexandria database).

a b c (Å): 5.7965 5.7965 9.8348
angles (deg): 90.00 90.00 120.00
Space group P-31c (No. 163)
Symmetry-distinct sites (fractional):
Pr 0.0000 0.0000 0.0000
Dy 0.3333 0.6667 0.2500
Np 0.3333 0.6667 0.7500
O 0.0254 0.3659 0.6376

total energy = -8.969 eV/atom
energy relative to the elements, uncorrected = -28.65 eV per formula unit